Compound: ReNi2Rh8
Source: Alexandria
Functional: PBE
Structure: optimized geometry

a = 6.944 Å, b = 11.484 Å, c = 4.300 Å
α = 90.00°, β = 111.68°, γ = 90.00°
Space group C2/m (No. 12)
One atom of each set of equivalent atoms:
Re 0.000 0.000 0.000 (multiplicity 2)
Ni 0.000 0.313 0.500 (multiplicity 4)
Rh 0.000 0.221 0.000 (multiplicity 4)
Rh 0.105 0.500 0.809 (multiplicity 4)
Rh 0.199 0.115 0.621 (multiplicity 8)

ΔH_f (0 K) in eV/atom: 0.2544
Calculated volume in Å³ per cell: 318.7

=====

Compound: ReNiRh
Source: Alexandria
Functional: PBE
Structure: optimized geometry

a = 4.2059 Å, b = 4.2059 Å, c = 2.6206 Å
α = 90.00°, β = 90.00°, γ = 120.00°
Space group P-6m2 (No. 187)
One atom of each set of equivalent atoms:
Re 0.0000 0.0000 0.0000 (multiplicity 1)
Ni 0.3333 0.6667 0.5000 (multiplicity 1)
Rh 0.6667 0.3333 0.5000 (multiplicity 1)

ΔH_f (0 K) in eV/atom: 0.0338
Calculated volume in Å³ per cell: 40.1

=====

Compound: ReNiRh6
Source: Alexandria
Functional: PBE
Structure: optimized geometry

a = 3.823 Å, b = 3.823 Å, c = 7.631 Å
α = 90.00°, β = 90.00°, γ = 90.00°
Space group P4/mmm (No. 123)
One atom of each set of equivalent atoms:
Re 0.000 0.000 0.000 (multiplicity 1)
Ni 0.000 0.000 0.500 (multiplicity 1)
Rh 0.000 0.500 0.248 (multiplicity 4)
Rh 0.500 0.500 0.000 (multiplicity 1)
Rh 0.500 0.500 0.500 (multiplicity 1)

ΔH_f (0 K) in eV/atom: -0.0473
Calculated volume in Å³ per cell: 111.6

=====

Compound: ReNiRh
Source: Alexandria
Functional: PBE
Structure: optimized geometry

a = 5.779 Å, b = 5.779 Å, c = 5.779 Å
α = 90.00°, β = 90.00°, γ = 90.00°
Space group F-43m (No. 216)
One atom of each set of equivalent atoms:
Re 0.000 0.000 0.000 (multiplicity 4)
Ni 0.250 0.250 0.250 (multiplicity 4)
Rh 0.250 0.250 0.750 (multiplicity 4)

ΔH_f (0 K) in eV/atom: 0.5886
Calculated volume in Å³ per cell: 193.0

=====

Compound: ReNi3Rh4
Source: Alexandria
Functional: PBE
Structure: optimized geometry

a = 8.257 Å, b = 3.786 Å, c = 7.589 Å
α = 90.00°, β = 117.56°, γ = 90.00°
Space group C2/m (No. 12)
One atom of each set of equivalent atoms:
Re 0.000 0.000 0.000 (multiplicity 2)
Ni 0.000 0.000 0.500 (multiplicity 2)
Ni 0.002 0.500 0.245 (multiplicity 4)
Rh 0.248 0.500 0.623 (multiplicity 4)
Rh 0.249 0.000 0.873 (multiplicity 4)

ΔH_f (0 K) in eV/atom: -0.0229
Calculated volume in Å³ per cell: 210.3

=====

Compound: ReNiRh2
Source: Alexandria
Functional: PBE
Structure: optimized geometry

a = 8.914 Å, b = 2.679 Å, c = 4.625 Å
α = 90.00°, β = 99.73°, γ = 90.00°
Space group C2/m (No. 12)
One atom of each set of equivalent atoms:
Re 0.000 0.000 0.000 (multiplicity 2)
Ni 0.000 0.500 0.500 (multiplicity 2)
Rh 0.250 0.000 0.748 (multiplicity 4)

ΔH_f (0 K) in eV/atom: -0.0229
Calculated volume in Å³ per cell: 108.9

=====

Compound: ReNi2Rh
Source: Alexandria
Functional: PBE
Structure: optimized geometry

a = 2.6744 Å, b = 2.6744 Å, c = 25.2988 Å
α = 90.00°, β = 90.00°, γ = 120.00°
Space group R-3m (No. 166, hexagonal axes)
One atom of each set of equivalent atoms:
Re 0.0000 0.0000 0.0000 (multiplicity 3)
Ni 0.0000 0.0000 0.2512 (multiplicity 6)
Rh 0.0000 0.0000 0.5000 (multiplicity 3)

ΔH_f (0 K) in eV/atom: 0.1073
Calculated volume in Å³ per cell: 156.7

=====

Compound: ReNiRh2
Source: Alexandria
Functional: PBE
Structure: optimized geometry

a = 3.799 Å, b = 3.799 Å, c = 7.512 Å
α = 90.00°, β = 90.00°, γ = 90.00°
Space group I4/mmm (No. 139)
One atom of each set of equivalent atoms:
Re 0.000 0.000 0.000 (multiplicity 2)
Ni 0.000 0.000 0.500 (multiplicity 2)
Rh 0.000 0.500 0.250 (multiplicity 4)

ΔH_f (0 K) in eV/atom: -0.0545
Calculated volume in Å³ per cell: 108.4

=====

Compound: ReNi6Rh8
Source: Alexandria
Functional: PBE
Structure: optimized geometry

a = 6.9806 Å, b = 6.9806 Å, c = 4.9623 Å
α = 90.00°, β = 90.00°, γ = 120.00°
Space group P-3 (No. 147)
One atom of each set of equivalent atoms:
Re 0.0000 0.0000 0.0000 (multiplicity 1)
Ni 0.0316 0.3618 0.0991 (multiplicity 6)
Rh 0.0460 0.6938 0.3926 (multiplicity 6)
Rh 0.3333 0.6667 0.7424 (multiplicity 2)

ΔH_f (0 K) in eV/atom: 0.3190
Calculated volume in Å³ per cell: 209.4

=====

Compound: ReNiRh2
Source: Alexandria
Functional: PBE
Structure: optimized geometry

a = 2.707 Å, b = 2.707 Å, c = 7.467 Å
α = 90.00°, β = 90.00°, γ = 90.00°
Space group P4/mmm (No. 123)
One atom of each set of equivalent atoms:
Re 0.000 0.000 0.000 (multiplicity 1)
Ni 0.000 0.000 0.500 (multiplicity 1)
Rh 0.500 0.500 0.254 (multiplicity 2)

ΔH_f (0 K) in eV/atom: -0.0516
Calculated volume in Å³ per cell: 54.7

=====

Compound: ReNi2Rh
Source: Alexandria
Functional: PBE
Structure: optimized geometry

a = 3.699 Å, b = 3.699 Å, c = 7.432 Å
α = 90.00°, β = 90.00°, γ = 90.00°
Space group I4/mmm (No. 139)
One atom of each set of equivalent atoms:
Re 0.000 0.000 0.000 (multiplicity 2)
Ni 0.000 0.500 0.250 (multiplicity 4)
Rh 0.000 0.000 0.500 (multiplicity 2)

ΔH_f (0 K) in eV/atom: 0.0382
Calculated volume in Å³ per cell: 101.7

=====

Compound: ReNiRh2
Source: Alexandria
Functional: PBE
Structure: optimized geometry

a = 5.333 Å, b = 8.896 Å, c = 2.664 Å
α = 90.00°, β = 118.34°, γ = 90.00°
Space group C2/m (No. 12)
One atom of each set of equivalent atoms:
Re 0.000 0.000 0.000 (multiplicity 2)
Ni 0.000 0.500 0.000 (multiplicity 2)
Rh 0.250 0.250 0.500 (multiplicity 4)

ΔH_f (0 K) in eV/atom: 0.2268
Calculated volume in Å³ per cell: 111.2

=====

Compound: Re3NiRh
Source: Alexandria
Functional: PBE
Structure: optimized geometry

a = 4.369 Å, b = 4.369 Å, c = 4.369 Å
α = 90.00°, β = 90.00°, γ = 90.00°
Space group Pm-3m (No. 221)
One atom of each set of equivalent atoms:
Re 0.000 0.000 0.500 (multiplicity 3)
Ni 0.000 0.000 0.000 (multiplicity 1)
Rh 0.500 0.500 0.500 (multiplicity 1)

ΔH_f (0 K) in eV/atom: 1.6838
Calculated volume in Å³ per cell: 83.4